No. 1
NdSmRu4, relaxed, DFT PBE-GGA; space-group type = F-43m
1.0
0.000 3.824 3.824
3.824 0.000 3.824
3.824 3.824 0.000
Nd Sm Ru
1 1 4
direct
0.000 0.000 0.000 Nd
0.750 0.750 0.750 Sm
0.375 0.375 0.375 Ru
0.375 0.375 0.875 Ru
0.375 0.875 0.375 Ru
0.875 0.375 0.375 Ru


No. 2
Nd2SmRu, relaxed, DFT PBE-GGA; distance to the lowest polymorph of the same formula = 0.159 eV per atom; space-group type = P4/mmm
1.0
3.525 0.000 0.000
0.000 3.525 0.000
0.000 0.000 9.333
Nd Sm Ru
2 1 1
direct
0.000 0.000 0.184 Nd
0.000 0.000 0.816 Nd
0.500 0.500 0.500 Sm
0.500 0.500 0.000 Ru


No. 3
Nd2Sm6Ru, relaxed, DFT PBE-GGA; space-group type = P2/m
1.0
7.547 0.000 0.000
0.000 3.806 0.000
-0.014 0.000 10.419
Nd Sm Ru
2 6 1
direct
0.239 0.000 0.000 Nd
0.761 0.000 0.000 Nd
0.000 0.500 0.240 Sm
0.000 0.500 0.760 Sm
0.237 0.000 0.500 Sm
0.500 0.500 0.237 Sm
0.500 0.500 0.763 Sm
0.763 0.000 0.500 Sm
0.500 0.500 0.500 Ru


No. 4
NdSmTlRu, relaxed, DFT PBE-GGA; distance to the lowest polymorph of the same formula = 0.000 eV per atom; space-group type = P4mm
1.0
3.456 0.000 0.000
0.000 3.456 0.000
0.000 0.000 8.655
Nd Sm Tl Ru
1 1 1 1
direct
0.000 0.000 0.000 Nd
0.000 0.000 0.598 Sm
0.500 0.500 0.302 Tl
0.500 0.500 0.795 Ru


Calculated volume readings, ordered: 18.64; 29.00; 33.25; 25.85 Å³ per atom
Energy of formation from the pure elements readings, ordered: -0.1694; -0.0445; -0.0258; -0.2943 eV/atom